No. 1
DFT (PBE) results for a geometry-optimized Ta2TlPt structure.

a = 3.9823 Å, b = 3.9823 Å, c = 10.4968 Å
α = 79.07°, β = 79.07°, γ = 90.00°
With the nearest neighbours (Å) after each atom.
Atoms (fractional coordinates):
Tl  0.0000  0.0000  0.0000  4 Pt 2.82, 4 Ta 2.89
Pt  0.2500  0.7500  0.5000  4 Tl 2.82, 4 Ta 2.89
Ta  0.3750  0.3748  0.7500  4 Ta 2.81-2.82, 2 Tl 2.89, 2 Pt 2.89
Tl  0.7500  0.2500  0.5000  4 Pt 2.82, 4 Ta 2.89
Pt  0.5000  0.5000  0.0000  4 Tl 2.82, 4 Ta 2.89
Ta  0.8750  0.8752  0.7500  4 Ta 2.81-2.82, 2 Tl 2.89, 2 Pt 2.89
Ta  0.6252  0.1250  0.2500  4 Ta 2.81-2.82, 2 Tl 2.89, 2 Pt 2.89
Ta  0.1248  0.6250  0.2500  4 Ta 2.81-2.82, 2 Tl 2.89, 2 Pt 2.89

Calculated values
Final energy ... -7.50 eV/atom
D(E_F) ... 6.8 states/eV per cell



No. 2
DFT (PBE) results for a geometry-optimized Ga2AsPBr structure.

a = 4.9182 Å, b = 4.8348 Å, c = 4.9182 Å
α = 90.00°, β = 90.00°, γ = 90.00°
With the nearest neighbours (Å) after each atom.
Atoms (fractional coordinates):
Br  0.0000  0.5000  0.0000  2 P 2.42
P  0.0000  0.0000  0.0000  2 Br 2.42, 4 Ga 2.46
Ga  0.0000  0.0000  0.5000  2 P 2.46
As  0.5000  0.5000  0.5000  8 Ga 3.45, 4 Br 3.48
Ga  0.5000  0.0000  0.0000  2 P 2.46

Calculated values
Energy relative to the elements, uncorrected ... 2.307 eV per formula unit
Final energy ... -3.10 eV/atom
D(E_F) ... 3.2 states/eV per cell



Q: What is the formula in the first record?
A: Ta2TlPt



Q: Look up the D(E_F) of the second one.
A: 3.2 states/eV per cell